A relaxed LuInTe2 crystal, computed with GGA-PBE.

* raw total energy: -3.5922 eV per atom

```
LuInTe2
1.0
-0.565 -4.883 -2.295
-0.853 -4.371 3.098
-4.845 -2.440 -0.027
In Lu Te
1 1 2
direct
0.500 0.500 0.500 In
0.250 0.250 0.250 Lu
0.000 0.000 0.000 Te
0.750 0.750 0.750 Te
```

---

A relaxed LuTlInTe3 crystal, computed with GGA-PBE.

* raw total energy: -3.8023 eV per atom

```
LuTlInTe3
1.0
2.224 -7.661 0.000
2.224 7.661 0.000
0.000 0.000 11.604
In Lu Te Tl
2 2 6 2
direct
0.046 0.954 0.250 In
0.954 0.046 0.750 In
0.500 0.500 0.000 Lu
0.500 0.500 0.500 Lu
0.137 0.863 0.029 Te
0.419 0.581 0.250 Te
0.137 0.863 0.471 Te
0.863 0.137 0.529 Te
0.581 0.419 0.750 Te
0.863 0.137 0.971 Te
0.739 0.261 0.250 Tl
0.261 0.739 0.750 Tl
```

---

A relaxed TmLuInTe3 crystal, computed with GGA-PBE.

* relative energy among the computed polymorphs: 22 kJ/mol of formula units

```
TmLuInTe3
1.0
2.141 -7.552 0.000
2.141 7.552 0.000
0.000 0.000 11.934
In Lu Te Tm
2 2 6 2
direct
0.749 0.251 0.250 In
0.251 0.749 0.750 In
0.422 0.578 0.250 Lu
0.578 0.422 0.750 Lu
0.357 0.643 0.021 Te
0.057 0.943 0.250 Te
0.357 0.643 0.479 Te
0.643 0.357 0.521 Te
0.943 0.057 0.750 Te
0.643 0.357 0.979 Te
0.000 0.000 0.000 Tm
0.000 0.000 0.500 Tm
```

---

Please write out number 3 again, unchanged.
A relaxed TmLuInTe3 crystal, computed with GGA-PBE.

* relative energy among the computed polymorphs: 22 kJ/mol of formula units

```
TmLuInTe3
1.0
2.141 -7.552 0.000
2.141 7.552 0.000
0.000 0.000 11.934
In Lu Te Tm
2 2 6 2
direct
0.749 0.251 0.250 In
0.251 0.749 0.750 In
0.422 0.578 0.250 Lu
0.578 0.422 0.750 Lu
0.357 0.643 0.021 Te
0.057 0.943 0.250 Te
0.357 0.643 0.479 Te
0.643 0.357 0.521 Te
0.943 0.057 0.750 Te
0.643 0.357 0.979 Te
0.000 0.000 0.000 Tm
0.000 0.000 0.500 Tm
```